Crystalline ZnTc3N at its relaxed geometry, computed with GGA-PBE.

Lattice parameters (Å, degrees): 7.119 5.092 9.481 90.00 128.40 90.00
Fractional coordinates of all 20 atoms:
1 Zn 0.193 0.091 0.096
2 Zn 0.193 0.409 0.596
3 Zn 0.807 0.591 0.404
4 Zn 0.807 0.909 0.904
5 Tc 0.071 0.581 0.830
6 Tc 0.071 0.919 0.330
7 Tc 0.351 0.568 0.176
8 Tc 0.351 0.932 0.676
9 Tc 0.425 0.246 0.945
10 Tc 0.425 0.254 0.445
11 Tc 0.575 0.746 0.555
12 Tc 0.575 0.754 0.055
13 Tc 0.649 0.068 0.324
14 Tc 0.649 0.432 0.824
15 Tc 0.929 0.081 0.670
16 Tc 0.929 0.419 0.170
17 N 0.250 0.621 0.325
18 N 0.250 0.879 0.825
19 N 0.750 0.121 0.175
20 N 0.750 0.379 0.675

## Properties
Calculated density = 9.21 Mg/m³
Space group = P2_1/c, No. 14
Raw total energy = -8.00 eV/atom
Size of the total moment = 0.00 μB/f.u.
Energy relative to the elements, uncorrected = 0.14 eV/atom
Crystal system = monoclinic